# 1
VASP calculation (PBEsol) on a relaxed Li4V2SiP2O12 crystal.

```
data_Li4V2SiP2O12
_cell_length_a 14.080
_cell_length_b 8.877
_cell_length_c 8.318
_cell_angle_alpha 90.00
_cell_angle_beta 120.76
_cell_angle_gamma 90.00
_symmetry_space_group_name_H-M 'C 1 2 1'
_symmetry_Int_Tables_number 5
loop_
_symmetry_equiv_pos_as_xyz
'x,y,z'
'-x,y,-z'
'x+1/2,y+1/2,z'
'-x+1/2,y+1/2,-z'
loop_
_atom_site_label
_atom_site_type_symbol
_atom_site_fract_x
_atom_site_fract_y
_atom_site_fract_z
_atom_site_occupancy
Li1 Li 0.000 0.000 0.000 1
Li2 Li 0.000 0.314 0.500 1
Li3 Li 0.207 0.707 0.912 1
Li4 Li 0.212 0.613 0.399 1
Li5 Li 0.250 0.410 0.759 1
V1 V 0.107 0.910 0.389 1
V2 V 0.110 0.409 0.891 1
Si1 Si 0.147 0.057 0.796 1
P1 P 0.000 0.614 0.500 1
P2 P 0.000 0.704 0.000 1
P3 P 0.150 0.259 0.296 1
O1 O 0.032 0.997 0.771 1
O2 O 0.037 0.307 0.262 1
O3 O 0.063 0.608 0.932 1
O4 O 0.066 0.710 0.438 1
O5 O 0.086 0.506 0.653 1
O6 O 0.090 0.809 0.153 1
O7 O 0.162 0.013 0.619 1
O8 O 0.167 0.240 0.813 1
O9 O 0.169 0.309 0.139 1
O10 O 0.170 0.085 0.311 1
O11 O 0.236 0.323 0.493 1
O12 O 0.241 0.993 0.002 1
```

Properties
Uncorrected formation energy: -2.32 eV/atom
Fermi-level density of states: 38.87 states/eV/cell


# 2
VASP calculation (PBEsol) on a relaxed RbTe3P crystal.

```
data_RbTe3P
_cell_length_a 5.359
_cell_length_b 5.359
_cell_length_c 5.359
_cell_angle_alpha 90.00
_cell_angle_beta 90.00
_cell_angle_gamma 90.00
_symmetry_space_group_name_H-M 'P m -3 m'
_symmetry_Int_Tables_number 221
_symmetry_space_group_name_Hall '-P 4 2 3'
loop_
_atom_site_label
_atom_site_type_symbol
_atom_site_fract_x
_atom_site_fract_y
_atom_site_fract_z
_atom_site_occupancy
Rb1 Rb 0.000 0.000 0.000 1
Te1 Te 0.000 0.500 0.500 1
P1 P 0.500 0.500 0.500 1
```

Properties
Energy above the most stable polymorph in this dataset: 0 meV/atom
Uncorrected formation energy: -0.09 eV/atom
Fermi-level density of states: 4.63 states/eV/cell


# 3
VASP calculation (PBEsol) on a relaxed CrP2W crystal.

```
data_CrP2W
_cell_length_a 3.095
_cell_length_b 3.138
_cell_length_c 10.836
_cell_angle_alpha 90.00
_cell_angle_beta 90.00
_cell_angle_gamma 90.00
_symmetry_space_group_name_H-M 'I m m 2'
_symmetry_Int_Tables_number 44
loop_
_symmetry_equiv_pos_as_xyz
'x,y,z'
'-x,-y,z'
'-x,y,z'
'x,-y,z'
'x+1/2,y+1/2,z+1/2'
'-x+1/2,-y+1/2,z+1/2'
'-x+1/2,y+1/2,z+1/2'
'x+1/2,-y+1/2,z+1/2'
loop_
_atom_site_label
_atom_site_type_symbol
_atom_site_fract_x
_atom_site_fract_y
_atom_site_fract_z
_atom_site_occupancy
Cr1 Cr 0.000 0.000 0.000 1
P1 P 0.000 0.000 0.425 1
P2 P 0.000 0.500 0.660 1
W1 W 0.000 0.500 0.253 1
```

Properties
Energy above the most stable polymorph in this dataset: 46 meV/atom
Fermi-level density of states: 5.77 states/eV/cell


# 4
VASP calculation (PBEsol) on a relaxed Ta2CrIr crystal.

```
data_Ta2CrIr
_cell_length_a 2.7678
_cell_length_b 2.7678
_cell_length_c 27.8762
_cell_angle_alpha 90.00
_cell_angle_beta 90.00
_cell_angle_gamma 120.00
_symmetry_space_group_name_H-M 'R 3 m'
_symmetry_Int_Tables_number 160
_symmetry_space_group_name_Hall 'R 3 -2"'
loop_
_atom_site_label
_atom_site_type_symbol
_atom_site_fract_x
_atom_site_fract_y
_atom_site_fract_z
_atom_site_occupancy
Ta1 Ta 0.0000 0.0000 0.0000 1
Ta2 Ta 0.0000 0.0000 0.2400 1
Cr1 Cr 0.0000 0.0000 0.4896 1
Ir1 Ir 0.0000 0.0000 0.7515 1
```

Properties
VASP energy: -11.138 eV per atom
Fermi-level density of states: 13.14 states/eV/cell


# 5
VASP calculation (PBEsol) on a relaxed LaFe2W crystal.

```
data_LaFe2W
_cell_length_a 4.626
_cell_length_b 4.626
_cell_length_c 2.956
_cell_angle_alpha 90.00
_cell_angle_beta 90.00
_cell_angle_gamma 90.00
_symmetry_space_group_name_H-M 'P 4/m m m'
_symmetry_Int_Tables_number 123
_symmetry_space_group_name_Hall '-P 4 2'
loop_
_atom_site_label
_atom_site_type_symbol
_atom_site_fract_x
_atom_site_fract_y
_atom_site_fract_z
_atom_site_occupancy
La1 La 0.000 0.000 0.000 1
Fe1 Fe 0.000 0.500 0.500 1
W1 W 0.500 0.500 0.000 1
```

Properties
Energy above the most stable polymorph in this dataset: 0 meV/atom
Fermi-level density of states: 5.78 states/eV/cell


# 6
VASP calculation (PBEsol) on a relaxed AlCoPt2 crystal.

```
data_AlCoPt2
_cell_length_a 3.868
_cell_length_b 3.868
_cell_length_c 7.191
_cell_angle_alpha 90.00
_cell_angle_beta 90.00
_cell_angle_gamma 90.00
_symmetry_space_group_name_H-M 'I 4/m m m'
_symmetry_Int_Tables_number 139
_symmetry_space_group_name_Hall '-I 4 2'
loop_
_atom_site_label
_atom_site_type_symbol
_atom_site_fract_x
_atom_site_fract_y
_atom_site_fract_z
_atom_site_occupancy
Al1 Al 0.000 0.000 0.000 1
Co1 Co 0.000 0.000 0.500 1
Pt1 Pt 0.000 0.500 0.250 1
```

Properties
VASP energy: -7.013 eV per atom
Fermi-level density of states: 4.24 states/eV/cell


Number 1: magnetization 0.190 μB per atom. Number 2: magnetization 0.000 μB per atom. Number 3: magnetization 0.001 μB per atom. Number 4: magnetization 0.001 μB per atom. Number 5: magnetization 0.603 μB per atom. Number 6: magnetization 0.494 μB per atom.